1.
# CaZnSb2

A geometry-optimized CaZnSb2 structure (PBE, Alexandria via LeMat-Bulk).

* space-group type: No. 8

a = 6.5621 Å, b = 6.5621 Å, c = 4.5264 Å
α = 65.30°, β = 65.30°, γ = 40.39°
Closest atoms and distances in Å follow each position.
Sites, in units of the cell vectors:
Zn: 0.5594 0.5594 0.5056  4 Sb 2.70-2.97
Ca: 0.2690 0.2690 0.2985  7 Sb 3.23-3.52, 2 Zn 3.24
Sb: 0.7142 0.7142 0.8550  2 Zn 2.70-2.97, 1 Sb 2.97
Sb: 0.9574 0.9574 0.8408  2 Zn 2.70, 1 Sb 2.97


2.
# CaZn2Sb

A geometry-optimized CaZn2Sb structure (PBE, Alexandria via LeMat-Bulk).

* space-group type: No. 122

a = 8.1305 Å, b = 8.1305 Å, c = 6.5029 Å
α = 51.31°, β = 51.31°, γ = 90.00°
Closest atoms and distances in Å follow each position.
Sites, in units of the cell vectors:
Ca: 0.5000 0.5000 0.0000  2 Sb 3.04, 4 Zn 3.19
Sb: 0.7500 0.2500 0.5000  4 Zn 2.77, 2 Ca 3.04
Zn: 0.0869 0.6250 0.2500  2 Sb 2.77, 2 Zn 3.10
Ca: 0.2500 0.7500 0.5000  2 Sb 3.04, 4 Zn 3.19
Sb: 0.0000 0.0000 0.0000  4 Zn 2.77, 2 Ca 3.04
Zn: 0.3750 0.3369 0.7500  2 Sb 2.77, 2 Zn 3.10
Zn: 0.8750 0.9131 0.7500  2 Sb 2.77, 2 Zn 3.10
Zn: 0.6631 0.1250 0.2500  2 Sb 2.77, 2 Zn 3.10


3.
# CaZrSb2

A geometry-optimized CaZrSb2 structure (PBE, Alexandria via LeMat-Bulk).

* energy above the most stable polymorph in this dataset: 0.656 eV per atom
* space-group type: No. 99

a = 3.2069 Å, b = 3.2069 Å, c = 11.1130 Å
α = 90.00°, β = 90.00°, γ = 90.02°
Closest atoms and distances in Å follow each position.
Sites, in units of the cell vectors:
Ca: 0.5000 0.5000 0.7510  4 Ca 3.21, 4 Sb 3.33
Sb: 0.5000 0.5000 0.2908  4 Zr 3.16, 4 Sb 3.21
Sb: 0.0000 0.0000 0.9698  4 Sb 3.21, 4 Ca 3.33
Zr: 0.0000 0.0000 0.4884  4 Sb 3.16, 4 Zr 3.21


4.
# CaZr2Sb

A geometry-optimized CaZr2Sb structure (PBE, Alexandria via LeMat-Bulk).

* space-group type: No. 123

a = 3.8456 Å, b = 3.8456 Å, c = 6.7809 Å
α = 90.00°, β = 90.00°, γ = 90.00°
Closest atoms and distances in Å follow each position.
Sites, in units of the cell vectors:
Ca: 0.5000 0.5000 0.2500  8 Zr 3.33, 2 Sb 3.39
Zr: 0.0000 0.0000 0.9669  1 Zr 2.94, 4 Sb 3.09
Zr: 0.0000 0.0000 0.5331  1 Zr 2.94, 4 Sb 3.09
Sb: 0.5000 0.5000 0.7500  8 Zr 3.09, 2 Ca 3.39


5.
# Ca3ZrSb

A geometry-optimized Ca3ZrSb structure (PBE, Alexandria via LeMat-Bulk).

* energy above the most stable polymorph in this dataset: 0.480 eV per atom
* space-group type: No. 221

a = 5.6253 Å, b = 5.6253 Å, c = 5.6253 Å
α = 90.00°, β = 90.00°, γ = 90.00°
Closest atoms and distances in Å follow each position.
Sites, in units of the cell vectors:
Zr: 0.0000 0.0000 0.0000  6 Ca 2.81
Ca: 0.5000 0.0000 0.0000  2 Zr 2.81
Sb: 0.5000 0.5000 0.5000  12 Ca 3.98
Ca: 0.0000 0.0000 0.5000  2 Zr 2.81
Ca: 0.0000 0.5000 0.0000  2 Zr 2.81


6.
# CaZr2Sb

A geometry-optimized CaZr2Sb structure (PBE, Alexandria via LeMat-Bulk).

* space-group type: No. 35

a = 3.3372 Å, b = 3.3372 Å, c = 9.4753 Å
α = 90.00°, β = 90.00°, γ = 96.94°
Closest atoms and distances in Å follow each position.
Sites, in units of the cell vectors:
Zr: 0.0000 0.0000 0.9931  4 Sb 3.05-3.27, 8 Zr 3.07-3.34
Ca: 0.0000 0.0000 0.5175  4 Sb 3.27-3.47, 4 Ca 3.34, 2 Zr 3.60
Zr: 0.5000 0.5000 0.2182  8 Zr 3.07-3.34
Sb: 0.5000 0.5000 0.7712  4 Zr 3.05-3.27, 2 Ca 3.27, 4 Sb 3.34


7.
# Ca4ZrSb

A geometry-optimized Ca4ZrSb structure (PBE, Alexandria via LeMat-Bulk).

* space-group type: No. 216

a = 6.5267 Å, b = 6.5267 Å, c = 6.5267 Å
α = 60.00°, β = 60.00°, γ = 60.00°
Closest atoms and distances in Å follow each position.
Sites, in units of the cell vectors:
Ca: 0.3746 0.3746 0.8762  6 Ca 3.25-3.27
Ca: 0.3746 0.8762 0.3746  6 Ca 3.25-3.27
Zr: 0.0000 0.0000 0.0000  12 Ca 3.83, 4 Sb 4.00
Ca: 0.8762 0.3746 0.3746  6 Ca 3.25-3.27
Sb: 0.7500 0.7500 0.7500  12 Ca 3.83, 4 Zr 4.00
Ca: 0.3746 0.3746 0.3746  6 Ca 3.25-3.27


8.
# CaZr2Sb

A geometry-optimized CaZr2Sb structure (PBE, Alexandria via LeMat-Bulk).

* space-group type: No. 216

a = 5.1473 Å, b = 5.1473 Å, c = 5.1473 Å
α = 60.00°, β = 60.00°, γ = 60.00°
Closest atoms and distances in Å follow each position.
Sites, in units of the cell vectors:
Sb: 0.7500 0.7500 0.7500  4 Zr 3.15, 4 Ca 3.15
Ca: 0.5000 0.5000 0.5000  4 Sb 3.15, 4 Zr 3.15
Zr: 0.0000 0.0000 0.0000  4 Zr 3.15, 4 Sb 3.15
Zr: 0.2500 0.2500 0.2500  4 Ca 3.15, 4 Zr 3.15


9.
# CaZrSb2

A geometry-optimized CaZrSb2 structure (PBE, Alexandria via LeMat-Bulk).

* energy above the most stable polymorph in this dataset: 0.157 eV per atom
* space-group type: No. 10

a = 3.8539 Å, b = 3.4064 Å, c = 8.3110 Å
α = 70.99°, β = 90.00°, γ = 90.00°
Closest atoms and distances in Å follow each position.
Sites, in units of the cell vectors:
Sb: 0.0000 0.5210 0.4749  4 Zr 3.03-3.22, 2 Ca 3.27
Sb: 0.0000 0.9790 0.0251  4 Zr 3.03-3.22, 2 Ca 3.27
Zr: 0.5000 0.2500 0.2500  8 Sb 3.03-3.22
Ca: 0.5000 0.7500 0.7500  8 Sb 3.27-3.45, 2 Ca 3.41


10.
# CaZr2Sb

A geometry-optimized CaZr2Sb structure (PBE, Alexandria via LeMat-Bulk).

* space-group type: No. 139

a = 5.8941 Å, b = 5.8941 Å, c = 5.8941 Å
α = 135.81°, β = 135.81°, γ = 64.27°
Closest atoms and distances in Å follow each position.
Sites, in units of the cell vectors:
Zr: 0.5000 0.5000 0.0000  4 Zr 3.14, 4 Sb 3.34, 4 Ca 3.34
Ca: 0.2500 0.7500 0.5000  4 Sb 3.14, 8 Zr 3.34
Sb: 0.7500 0.2500 0.5000  4 Ca 3.14, 8 Zr 3.34
Zr: 0.0000 0.0000 0.0000  4 Zr 3.14, 4 Ca 3.34, 4 Sb 3.34


11.
# CaZrSb2

A geometry-optimized CaZrSb2 structure (PBE, Alexandria via LeMat-Bulk).

* energy above the most stable polymorph in this dataset: 0.348 eV per atom
* space-group type: No. 122

a = 8.0739 Å, b = 8.0739 Å, c = 6.6861 Å
α = 52.86°, β = 52.86°, γ = 90.00°
Closest atoms and distances in Å follow each position.
Sites, in units of the cell vectors:
Ca: 0.5000 0.5000 0.0000  4 Sb 3.08
Sb: 0.1071 0.6250 0.2500  2 Zr 2.89, 2 Ca 3.08
Ca: 0.2500 0.7500 0.5000  4 Sb 3.08
Zr: 0.7500 0.2500 0.5000  4 Sb 2.89
Sb: 0.6429 0.1250 0.2500  2 Zr 2.89, 2 Ca 3.08
Sb: 0.8750 0.8929 0.7500  2 Zr 2.89, 2 Ca 3.08
Zr: 0.0000 0.0000 0.0000  4 Sb 2.89
Sb: 0.3750 0.3571 0.7500  2 Zr 2.89, 2 Ca 3.08


12.
# CaZrSb2

A geometry-optimized CaZrSb2 structure (PBE, Alexandria via LeMat-Bulk).

* energy above the most stable polymorph in this dataset: 0.216 eV per atom
* space-group type: No. 8

a = 5.9581 Å, b = 5.9581 Å, c = 4.6829 Å
α = 89.83°, β = 89.83°, γ = 39.41°
Closest atoms and distances in Å follow each position.
Sites, in units of the cell vectors:
Sb: 0.7687 0.7687 0.6250  3 Zr 3.07-3.24, 4 Ca 3.09, 2 Sb 3.37-3.38
Sb: 0.9857 0.9857 0.1246  3 Ca 2.97-3.32, 4 Zr 3.09
Zr: 0.4953 0.4953 0.6250  7 Sb 3.07-3.24
Ca: 0.2503 0.2503 0.1253  7 Sb 2.97-3.32


13.
# CaZrSb

A geometry-optimized CaZrSb structure (PBE, Alexandria via LeMat-Bulk).

* space-group type: No. 216

a = 5.0058 Å, b = 5.0058 Å, c = 5.0058 Å
α = 60.00°, β = 60.00°, γ = 60.00°
Closest atoms and distances in Å follow each position.
Sites, in units of the cell vectors:
Ca: 0.5000 0.5000 0.5000  4 Sb 3.07
Zr: 0.0000 0.0000 0.0000  4 Sb 3.07
Sb: 0.7500 0.7500 0.7500  4 Zr 3.07, 4 Ca 3.07


14.
# CaZrSb2

A geometry-optimized CaZrSb2 structure (PBE, Alexandria via LeMat-Bulk).

* energy above the most stable polymorph in this dataset: 0.118 eV per atom
* space-group type: No. 123

a = 4.2904 Å, b = 4.2904 Å, c = 6.0085 Å
α = 90.00°, β = 90.00°, γ = 90.00°
Closest atoms and distances in Å follow each position.
Sites, in units of the cell vectors:
Sb: 0.0000 0.0000 0.8749  2 Zr 3.00-3.01, 4 Ca 3.03
Sb: 0.5000 0.5000 0.3749  2 Ca 3.00, 4 Zr 3.03
Zr: 0.0000 0.0000 0.3752  6 Sb 3.00-3.03
Ca: 0.5000 0.5000 0.8750  6 Sb 3.00-3.03


15.
# CaZrSb

A geometry-optimized CaZrSb structure (PBE, Alexandria via LeMat-Bulk).

* space-group type: No. 156

a = 4.9592 Å, b = 4.9592 Å, c = 4.0414 Å
α = 90.00°, β = 90.00°, γ = 120.00°
Closest atoms and distances in Å follow each position.
Sites, in units of the cell vectors:
Zr: 0.3333 0.6667 0.5011  3 Sb 2.86
Ca: 0.0000 0.0000 0.0010  6 Sb 3.50-3.51, 6 Zr 3.50
Sb: 0.6667 0.3333 0.4980  3 Zr 2.86


16.
# CaZr3Sb

A geometry-optimized CaZr3Sb structure (PBE, Alexandria via LeMat-Bulk).

* energy above the most stable polymorph in this dataset: 0.000 eV per atom
* space-group type: No. 221

a = 5.3992 Å, b = 5.3992 Å, c = 5.3992 Å
α = 90.00°, β = 90.00°, γ = 90.00°
Closest atoms and distances in Å follow each position.
Sites, in units of the cell vectors:
Ca: 0.5000 0.5000 0.5000  12 Zr 3.82
Zr: 0.0000 0.5000 0.0000  2 Sb 2.70
Zr: 0.0000 0.0000 0.5000  2 Sb 2.70
Zr: 0.5000 0.0000 0.0000  2 Sb 2.70
Sb: 0.0000 0.0000 0.0000  6 Zr 2.70


17.
# CaZr2Sb

A geometry-optimized CaZr2Sb structure (PBE, Alexandria via LeMat-Bulk).

* space-group type: No. 122

a = 8.5149 Å, b = 8.5149 Å, c = 6.7374 Å
α = 50.81°, β = 50.81°, γ = 90.00°
Closest atoms and distances in Å follow each position.
Sites, in units of the cell vectors:
Zr: 0.6646 0.1250 0.2500  2 Sb 2.88, 2 Zr 3.10
Ca: 0.5000 0.5000 0.0000  2 Sb 3.02, 4 Zr 3.34
Sb: 0.0000 0.0000 0.0000  4 Zr 2.88, 2 Ca 3.02
Zr: 0.3750 0.3354 0.7500  2 Sb 2.88, 2 Zr 3.10
Ca: 0.2500 0.7500 0.5000  2 Sb 3.02, 4 Zr 3.34
Zr: 0.8750 0.9146 0.7500  2 Sb 2.88, 2 Zr 3.10
Zr: 0.0854 0.6250 0.2500  2 Sb 2.88, 2 Zr 3.10
Sb: 0.7500 0.2500 0.5000  4 Zr 2.88, 2 Ca 3.02


18.
# CaZr2Sb

A geometry-optimized CaZr2Sb structure (PBE, Alexandria via LeMat-Bulk).

* space-group type: No. 123

a = 4.3990 Å, b = 4.4079 Å, c = 5.0114 Å
α = 90.00°, β = 90.00°, γ = 90.00°
Closest atoms and distances in Å follow each position.
Sites, in units of the cell vectors:
Ca: 0.5000 0.0000 0.5000  4 Sb 3.11, 8 Zr 3.33-3.34
Zr: 0.0000 0.0000 0.0000  4 Zr 3.11, 4 Ca 3.33, 4 Sb 3.34
Sb: 0.0000 0.5000 0.5000  4 Ca 3.11, 8 Zr 3.33-3.34
Zr: 0.5000 0.5000 0.0000  4 Zr 3.11, 4 Sb 3.33, 4 Ca 3.34


19.
# Ca2ZrSb2

A geometry-optimized Ca2ZrSb2 structure (PBE, Alexandria via LeMat-Bulk).

* energy above the most stable polymorph in this dataset: 0.728 eV per atom
* space-group type: No. 139

a = 6.1471 Å, b = 6.1471 Å, c = 6.1471 Å
α = 124.34°, β = 124.34°, γ = 82.63°
Closest atoms and distances in Å follow each position.
Sites, in units of the cell vectors:
Sb: 0.2500 0.7500 0.5000  4 Ca 2.98
Sb: 0.7500 0.2500 0.5000  4 Ca 2.98
Ca: 0.6641 0.6641 0.0000  4 Sb 2.98, 1 Ca 3.03, 1 Zr 3.10
Ca: 0.3359 0.3359 0.0000  4 Sb 2.98, 1 Ca 3.03, 1 Zr 3.10
Zr: 0.0000 0.0000 0.0000  2 Ca 3.10


20.
# CaZr4Sb

A geometry-optimized CaZr4Sb structure (PBE, Alexandria via LeMat-Bulk).

* space-group type: No. 216

a = 5.9815 Å, b = 5.9815 Å, c = 5.9815 Å
α = 60.00°, β = 60.00°, γ = 60.00°
Closest atoms and distances in Å follow each position.
Sites, in units of the cell vectors:
Zr: 0.3780 0.3780 0.8661  6 Zr 2.92-3.06
Sb: 0.0000 0.0000 0.0000  12 Zr 3.51, 4 Ca 3.66
Zr: 0.8661 0.3780 0.3780  6 Zr 2.92-3.06
Ca: 0.7500 0.7500 0.7500  12 Zr 3.50, 4 Sb 3.66
Zr: 0.3780 0.8661 0.3780  6 Zr 2.92-3.06
Zr: 0.3780 0.3780 0.3780  6 Zr 2.92-3.06


Number 1: formation energy (no corrections) -0.4168 eV per atom. Number 2: formation energy (no corrections) -0.1416 eV per atom. Number 3: formation energy (no corrections) -0.1440 eV per atom. Number 4: formation energy (no corrections) -0.1436 eV per atom. Number 5: formation energy (no corrections) 0.7698 eV per atom. Number 6: formation energy (no corrections) -0.1958 eV per atom. Number 7: formation energy (no corrections) 0.3842 eV per atom. Number 8: formation energy (no corrections) -0.0270 eV per atom. Number 9: formation energy (no corrections) -0.6436 eV per atom. Number 10: formation energy (no corrections) -0.1973 eV per atom. Number 11: formation energy (no corrections) -0.4527 eV per atom. Number 12: formation energy (no corrections) -0.5843 eV per atom. Number 13: formation energy (no corrections) -0.2458 eV per atom. Number 14: formation energy (no corrections) -0.6821 eV per atom. Number 15: formation energy (no corrections) -0.2006 eV per atom. Number 16: formation energy (no corrections) 0.4436 eV per atom. Number 17: formation energy (no corrections) 0.1050 eV per atom. Number 18: formation energy (no corrections) -0.1873 eV per atom. Number 19: formation energy (no corrections) 0.0211 eV per atom. Number 20: formation energy (no corrections) 0.2143 eV per atom.